DFT (PBE+U) results for a relaxed CaCr2O6 crystal.

Lattice parameters (Å, degrees): 5.447 5.974 7.126 90.49 90.51 91.18
Last column: magnetic moment on the atom in μB.
Positions (direct):
Cr1 0.431 0.088 0.987  0.31
Cr2 0.904 0.416 0.006  1.25
Cr3 0.976 0.410 0.473  1.37
Cr4 0.471 0.103 0.502  2.12
Ca1 0.498 0.641 0.751  0.00
Ca2 0.019 0.870 0.248  0.01
O1 0.085 0.457 0.236  -0.09
O2 0.578 0.042 0.769  -0.06
O3 0.393 0.103 0.236  -0.07
O4 0.888 0.426 0.766  -0.10
O5 0.289 0.345 0.566  -0.10
O6 0.812 0.155 0.444  -0.10
O7 0.246 0.857 0.964  -0.01
O8 0.712 0.624 0.064  -0.08
O9 0.277 0.315 0.934  -0.04
O10 0.781 0.152 0.063  -0.09
O11 0.813 0.644 0.480  -0.15
O12 0.309 0.851 0.512  -0.12

Calculated values
Spin magnetization: 4.00 Bohr magnetons per cell
Uncorrected energy: -6.800 eV per atom
Calculated density: 3.44 g/cm³